Entry 1:
Below is a relaxed YCuP2 crystal, with properties calculated at the PBE level.

Geometry as POSCAR:
```
YCuP2
1.0
4.3346 0.0000 0.0000
0.0000 3.9281 -0.0326
0.0000 0.0380 4.3343
Cu P Y
1 2 1
Cartesian
2.1673 3.2887 3.7632 Cu
0.0000 0.2586 3.7930 P
2.1673 0.2394 1.6220 P
0.0000 2.2004 1.6088 Y
```

Properties
VASP energy   -5.8933 eV/atom
Energy relative to the elements   -2.193 eV per formula unit

***

Entry 2:
Below is a relaxed RbNbTl crystal, with properties calculated at the PBE level.

Geometry as POSCAR:
```
RbNbTl
1.0
3.4335 0.0000 0.0000
0.0000 4.8306 0.0000
-0.0895 -2.3675 13.0384
Rb Nb Tl
2 2 2
Cartesian
0.8035 1.2073 2.0736 Rb
2.5406 1.2559 10.9648 Rb
0.8136 1.2299 5.5322 Nb
2.5304 1.2332 7.5062 Nb
2.5298 3.6448 5.0083 Tl
0.8143 -1.1817 8.0301 Tl
```

Properties
VASP energy   -4.0992 eV/atom
Energy relative to the elements   1.106 eV per formula unit

***

Entry 3:
Below is a relaxed Ti2Co crystal, with properties calculated at the PBE level.

Geometry as POSCAR:
```
Ti2Co
1.0
5.9571 0.0000 0.0000
0.0000 5.7023 0.0000
-2.9785 0.0000 5.4972
Ti Co
8 4
Cartesian
1.9127 3.7976 0.0000 Ti
4.0444 1.9047 0.0000 Ti
1.0658 0.9465 0.0000 Ti
4.8912 4.7559 0.0000 Ti
1.1591 4.2768 2.7486 Ti
-1.1591 1.4256 2.7486 Ti
1.8194 1.4256 2.7486 Ti
4.1377 4.2768 2.7486 Ti
2.9785 0.0000 1.3263 Co
0.0000 2.8512 1.3263 Co
0.0000 0.0000 4.1709 Co
2.9785 2.8512 4.1709 Co
```

Properties
VASP energy   -7.7692 eV/atom
Energy relative to the elements   -0.412 eV per formula unit

***

Entry 4:
Below is a relaxed NaBiAu3 crystal, with properties calculated at the PBE level.

Geometry as POSCAR:
```
NaBiAu3
1.0
6.7325 0.0000 0.0000
0.0000 8.1533 0.3014
0.0000 -2.3607 8.3727
Na Bi Au
4 4 12
Cartesian
6.6146 4.7464 2.4175 Na
0.1180 1.0461 6.2567 Na
3.2483 2.2265 2.0703 Na
3.4842 3.5660 6.6038 Na
1.7386 6.6176 5.0541 Bi
4.9939 -0.8251 3.6200 Bi
5.1049 -2.0054 7.8064 Bi
1.6277 7.7980 0.8678 Bi
0.7031 0.7683 3.1239 Au
6.0294 5.0243 5.5503 Au
4.0694 6.2046 1.3639 Au
2.6632 -0.4121 7.3102 Au
3.5552 4.7172 3.8002 Au
3.1774 1.0754 4.8740 Au
0.1889 2.2557 0.6876 Au
6.5437 3.5368 7.9866 Au
1.3436 3.2185 4.5242 Au
5.3889 2.5741 4.1499 Au
4.7099 1.3937 8.3363 Au
2.0226 4.3988 0.3379 Au
```

Properties
VASP energy   -3.1472 eV/atom
Energy relative to the elements   -0.704 eV per formula unit

***

Q: What is the energy relative to the elements in the fourth record?
A: -0.704 eV per formula unit

***

Q: energy relative to the elements of number 2 (RbNbTl)?
A: 1.106 eV per formula unit